[1]
Mg2ScCu4Ni after structural relaxation. Source: OQMD, functional GGA-PBE.

The space group is P4/mmm (No. 123) and the conventional cell measures 4.338, 4.338 and 6.099 Å, with angles of 90.00, 90.00 and 90.00 degrees. The distinct sites, in fractional coordinates, are Mg at (0.000, 0.000, 0.000), Mg at (0.500, 0.500, 0.500), Sc at (0.000, 0.000, 0.500), Cu at (0.000, 0.500, 0.229) and Ni at (0.500, 0.500, 0.000).

The energy comes out at -30.488 eV for the cell shown.

[2]
MgCuSiNi after structural relaxation. Source: OQMD, functional GGA-PBE.

The space group is F-43m (No. 216) and the conventional cell measures 5.957, 5.957 and 5.957 Å, with angles of 90.00, 90.00 and 90.00 degrees. The distinct sites, in fractional coordinates, are Mg at (0.000, 0.000, 0.000), Cu at (0.000, 0.000, 0.500), Si at (0.250, 0.250, 0.250) and Ni at (0.250, 0.250, 0.750).

As for the energy relative to the lowest polymorph listed for this composition: 1.01 eV/f.u.

[3]
MgCuSiNi after structural relaxation. Source: OQMD, functional GGA-PBE.

The space group is F-43m (No. 216) and the conventional cell measures 5.872, 5.872 and 5.872 Å, with angles of 90.00, 90.00 and 90.00 degrees. The distinct sites, in fractional coordinates, are Mg at (0.000, 0.000, 0.000), Cu at (0.250, 0.250, 0.250), Si at (0.000, 0.000, 0.500) and Ni at (0.250, 0.250, 0.750).

As for the energy relative to the lowest polymorph listed for this composition: 0.00 eV/f.u.

[4]
MgTaCuNi after structural relaxation. Source: OQMD, functional GGA-PBE.

The space group is F-43m (No. 216) and the conventional cell measures 6.137, 6.137 and 6.137 Å, with angles of 90.00, 90.00 and 90.00 degrees. The distinct sites, in fractional coordinates, are Mg at (0.000, 0.000, 0.000), Ta at (0.000, 0.000, 0.500), Cu at (0.250, 0.250, 0.750) and Ni at (0.250, 0.250, 0.250).

As for the energy relative to the lowest polymorph listed for this composition: 0.00 eV/f.u.

[5]
MgTaCuNi after structural relaxation. Source: OQMD, functional GGA-PBE.

The space group is F-43m (No. 216) and the conventional cell measures 6.115, 6.115 and 6.115 Å, with angles of 90.00, 90.00 and 90.00 degrees. The distinct sites, in fractional coordinates, are Mg at (0.000, 0.000, 0.000), Ta at (0.250, 0.250, 0.750), Cu at (0.000, 0.000, 0.500) and Ni at (0.250, 0.250, 0.250).

As for the energy relative to the lowest polymorph listed for this composition: 1.39 eV/f.u.

[6]
MgTaCuNi after structural relaxation. Source: OQMD, functional GGA-PBE.

The space group is F-43m (No. 216) and the conventional cell measures 6.087, 6.087 and 6.087 Å, with angles of 90.00, 90.00 and 90.00 degrees. The distinct sites, in fractional coordinates, are Mg at (0.000, 0.000, 0.000), Ta at (0.250, 0.250, 0.750), Cu at (0.250, 0.250, 0.250) and Ni at (0.000, 0.000, 0.500).

As for the energy relative to the lowest polymorph listed for this composition: 0.83 eV/f.u.

In the order shown, the computed M_tot values come out to 0.028, 0.015, 0.008, 0.010, 0.000, 0.000 μB per cell.